Entry 1:
PmCuGeTe3, relaxed, DFT PBE; M_tot = 0.00 Bohr magnetons per cell; raw formation energy = -0.635 eV per atom
1.0
4.179 0.000 0.000
0.000 8.815 0.351
0.000 -1.972 9.122
Pm Cu Ge Te
2 2 2 6
Direct
0.250 0.161 0.246
0.750 0.839 0.754
0.250 0.065 0.572
0.750 0.935 0.428
0.250 0.654 0.146
0.750 0.346 0.854
0.750 0.892 0.132
0.250 0.108 0.868
0.250 0.763 0.489
0.750 0.237 0.511
0.750 0.412 0.163
0.250 0.588 0.837


Entry 2:
Na2HgRh, relaxed, DFT PBE; M_tot = 0.00 Bohr magnetons per cell; formation energy = 0.27 eV per atom; E above lowest polymorph = 0.014 eV per atom
1.0
-2.489 0.262 -7.637
-7.229 -2.684 2.264
-5.708 1.382 -2.321
Na Rh Hg
4 2 2
Direct
0.608 0.125 0.250
0.142 0.625 0.250
0.375 0.392 0.750
0.875 0.858 0.750
0.500 0.500 0.000
0.250 0.750 0.500
0.000 0.000 0.000
0.750 0.250 0.500


Entry 3:
PrDyPb, relaxed, DFT PBE; M_tot = 0.24 Bohr magnetons per cell; formation energy = -0.43 eV per atom; E above lowest polymorph = 0.016 eV per atom
1.0
5.566 0.000 0.000
-2.783 4.821 0.000
0.000 0.000 6.698
Pb Pr Dy
2 2 2
Direct
0.667 0.333 0.750
0.333 0.667 0.250
0.000 0.000 0.500
0.000 0.000 0.000
0.667 0.333 0.250
0.333 0.667 0.750


Entry 4:
HfBRh3, relaxed, DFT PBE; M_tot = 0.00 Bohr magnetons per cell; formation energy = -0.71 eV per atom; E above lowest polymorph = 0.078 eV per atom
1.0
5.659 -0.020 0.008
0.515 4.413 -0.012
0.021 0.652 5.621
Hf B Rh
2 2 6
Direct
0.712 0.108 0.098
0.270 0.108 0.541
0.224 0.473 0.119
0.691 0.743 0.586
0.205 0.041 0.029
0.782 0.175 0.605
0.433 0.551 0.806
0.506 0.608 0.304
0.004 0.666 0.377
0.932 0.608 0.878


Entry 5:
CdIn2Cu, relaxed, DFT PBE; M_tot = 0.00 Bohr magnetons per cell; formation energy = 0.07 eV per atom
1.0
-0.828 2.542 -1.773
1.613 -1.214 -2.493
-6.950 -4.029 -2.533
Cd Cu In
1 1 2
Direct
0.000 0.000 0.548
0.500 0.500 0.744
0.000 0.000 0.948
0.500 0.500 0.259


Entry 6:
Cr2NiOs, relaxed, DFT PBE; M_tot = 0.00 Bohr magnetons per cell; formation energy = 0.03 eV per atom
1.0
-1.610 -1.126 -3.074
3.219 -1.175 -1.255
-0.602 -3.263 1.510
Ni Os Cr
1 1 2
Direct
0.500 0.000 0.500
0.000 0.500 0.500
0.000 0.000 0.000
0.500 0.500 0.000